A plane-wave DFT calculation with PBE-GGA was carried out for crystalline TlGeCl3 at its relaxed geometry.

Cell: 15.117 9.584 9.584 Å, 96.75 131.29 48.71°
Element x y z (fractional)
Cl  0.560  0.118  0.429
Cl  0.487  0.559  0.300
Cl  0.374  0.354  0.873
Cl  0.987  0.200  0.941
Cl  0.940  0.929  0.618
Cl  0.013  0.800  0.059
Cl  0.874  0.627  0.146
Cl  0.626  0.646  0.127
Cl  0.513  0.441  0.700
Cl  0.060  0.071  0.382
Cl  0.440  0.882  0.571
Cl  0.126  0.373  0.854
Tl  0.786  0.044  0.156
Tl  0.286  0.344  0.456
Tl  0.214  0.956  0.844
Tl  0.714  0.656  0.544
Ge  0.750  0.511  0.011
Ge  0.250  0.835  0.335
Ge  0.250  0.489  0.989
Ge  0.750  0.165  0.665

Properties
Total magnetic moment = 0.00 μB/f.u.
E_form (uncorrected) = -0.864 eV/atom
Space-group type = No. 15